# DyY2ScBi4

Crystalline DyY2ScBi4 at its relaxed geometry (PBE-GGA, the Alexandria database).

Computed properties:
Magnetic moment (μB per formula unit): 0.00
Space-group type: No. 10
Formation energy (kcal/mol of atoms): -18.88
Total energy (eV per atom): -5.7421

a b c (Å): 4.433 7.673 7.675
angles (deg): 109.47 90.00 90.00
Sites, in units of the cell vectors:
Y 0.000 0.500 0.500
Y 0.500 0.000 0.500
Bi 0.500 0.745 0.755
Bi 0.000 0.740 0.240
Bi 0.000 0.260 0.760
Bi 0.500 0.255 0.245
Sc 0.500 0.500 0.000
Dy 0.000 0.000 0.000